Entry 1:
# CsIN2Cl

A geometry-optimized CsIN2Cl structure (PBE, the Alexandria database).

a = 5.7858 Å, b = 5.7858 Å, c = 5.8337 Å
α = 90.00°, β = 90.00°, γ = 90.00°
Element x y z (fractional)
Cs: 0.0000 0.0000 0.0000
I: 0.5000 0.5000 0.0000
N: 0.0000 0.5000 0.5000
N: 0.5000 0.0000 0.5000
Cl: 0.5000 0.5000 0.5000

N(E_F) = 0.25 states/eV per atom
raw formation energy = 1.4442 eV per atom
spin magnetization = 6.022 Bohr magnetons per cell
total energy = -2.74 eV per atom
relative energy among the computed polymorphs = 0 meV per atom

Entry 2:
# NiSb2Te

A geometry-optimized NiSb2Te structure (PBE, the Alexandria database).

a = 3.5566 Å, b = 5.0446 Å, c = 5.1708 Å
α = 90.00°, β = 90.00°, γ = 90.00°
Element x y z (fractional)
Ni: 0.0000 0.0000 0.0000
Sb: 0.0000 0.5000 0.5000
Sb: 0.5000 0.0000 0.5000
Te: 0.5000 0.5000 0.0000

N(E_F) = 0.69 states/eV per atom
raw formation energy = 0.4428 eV per atom
spin magnetization = 0.000 Bohr magnetons per cell
total energy = -3.85 eV per atom

Entry 3:
# HfUNb

A geometry-optimized HfUNb structure (PBE, the Alexandria database).

a = 5.7453 Å, b = 5.7453 Å, c = 5.7453 Å
α = 145.09°, β = 145.09°, γ = 50.20°
Element x y z (fractional)
Hf: 0.0000 0.0000 0.0000
U: 0.3161 0.3161 0.0000
Nb: 0.6832 0.6832 0.0000

N(E_F) = 1.61 states/eV per atom
energy of formation from the pure elements = 21 kJ per mole of atoms
spin magnetization = 0.000 Bohr magnetons per cell
total energy = -10.22 eV per atom
relative energy among the computed polymorphs = 0 meV per atom

Entry 4:
# Pm2PrAl

A geometry-optimized Pm2PrAl structure (PBE, the Alexandria database).

a = 4.8942 Å, b = 4.8942 Å, c = 4.8772 Å
α = 90.00°, β = 90.00°, γ = 90.00°
Element x y z (fractional)
Pm: 0.0000 0.5000 0.0000
Pm: 0.5000 0.0000 0.0000
Pr: 0.0000 0.0000 0.5000
Al: 0.5000 0.5000 0.5000

N(E_F) = 1.62 states/eV per atom
energy of formation from the pure elements = -16 kJ per mole of atoms
spin magnetization = 0.000 Bohr magnetons per cell
total energy = -4.67 eV per atom
relative energy among the computed polymorphs = 0 meV per atom

Entry 5:
# NiSb3Au

A geometry-optimized NiSb3Au structure (PBE, the Alexandria database).

a = 4.9685 Å, b = 4.9685 Å, c = 4.9685 Å
α = 90.00°, β = 90.00°, γ = 90.00°
Element x y z (fractional)
Ni: 0.0000 0.0000 0.0000
Sb: 0.0000 0.0000 0.5000
Sb: 0.0000 0.5000 0.0000
Sb: 0.5000 0.0000 0.0000
Au: 0.5000 0.5000 0.5000

N(E_F) = 0.62 states/eV per atom
raw formation energy = 0.3584 eV per atom
spin magnetization = 0.000 Bohr magnetons per cell
total energy = -3.93 eV per atom
relative energy among the computed polymorphs = 0 meV per atom

Entry 6:
# ZrTaMnCu2

A geometry-optimized ZrTaMnCu2 structure (PBE, the Alexandria database).

a = 4.6365 Å, b = 4.6365 Å, c = 4.4609 Å
α = 90.00°, β = 90.00°, γ = 90.00°
Element x y z (fractional)
Zr: 0.0000 0.0000 0.0000
Ta: 0.5000 0.5000 0.5000
Mn: 0.0000 0.0000 0.5000
Cu: 0.0000 0.5000 0.0000
Cu: 0.5000 0.0000 0.0000

N(E_F) = 0.87 states/eV per atom
energy of formation from the pure elements = 152 kJ per mole of atoms
spin magnetization = 2.401 Bohr magnetons per cell
total energy = -5.97 eV per atom

Q: The lowest total energy belongs to which entry?
A: HfUNb

Q: Which formula does entry 2 have?
A: NiSb2Te